(1)
Computed, not measured: an optimized crystal structure of Dy3MgIr at the PBE level of DFT.

Calculated values
DOS(E_F)   4.89 states/eV/cell
Calculated total energy   -25.64 eV per formula unit
ΔE_f   -0.275 eV per atom

a b c (Å): 5.3982 5.3982 5.3982
angles (deg): 90.00 90.00 90.00
Closest atoms and distances in Å follow each position.
Fractional positions:
Mg 0.5000 0.5000 0.5000  12 Dy 3.82
Ir 0.0000 0.0000 0.0000  6 Dy 2.70
Dy 0.0000 0.5000 0.0000  2 Ir 2.70
Dy 0.0000 0.0000 0.5000  2 Ir 2.70
Dy 0.5000 0.0000 0.0000  2 Ir 2.70

(2)
Computed, not measured: an optimized crystal structure of NiPtAu2 at the PBE level of DFT.

Calculated values
DOS(E_F)   11.10 states/eV/cell
Calculated total energy   -16.85 eV per formula unit
ΔE_f   0.382 eV per atom

a b c (Å): 7.1757 7.1757 5.7333
angles (deg): 51.26 51.26 90.00
Closest atoms and distances in Å follow each position.
Fractional positions:
Ni 0.5000 0.5000 0.0000  4 Au 2.53, 2 Pt 2.67
Ni 0.2500 0.7500 0.5000  4 Au 2.53, 2 Pt 2.67
Au 0.6052 0.1250 0.2500  2 Ni 2.53, 2 Au 2.68, 2 Pt 2.72
Au 0.1448 0.6250 0.2500  2 Ni 2.53, 2 Au 2.68, 2 Pt 2.72
Au 0.3750 0.3948 0.7500  2 Ni 2.53, 2 Au 2.68, 2 Pt 2.72
Au 0.8750 0.8552 0.7500  2 Ni 2.53, 2 Au 2.68, 2 Pt 2.72
Pt 0.0000 0.0000 0.0000  2 Ni 2.67, 4 Au 2.72
Pt 0.7500 0.2500 0.5000  2 Ni 2.67, 4 Au 2.72

(3)
Computed, not measured: an optimized crystal structure of NdSmInRu at the PBE level of DFT.

Calculated values
DOS(E_F)   2.64 states/eV/cell
Calculated total energy   -22.40 eV per formula unit
ΔE_f   -0.226 eV per atom

a b c (Å): 5.2006 5.2006 5.2006
angles (deg): 60.00 60.00 60.00
Closest atoms and distances in Å follow each position.
Fractional positions:
Ru 0.7500 0.7500 0.7500  4 Nd 3.18, 4 Sm 3.18
Nd 0.5000 0.5000 0.5000  4 In 3.18, 4 Ru 3.18
Sm 0.0000 0.0000 0.0000  4 Ru 3.18, 4 In 3.18
In 0.2500 0.2500 0.2500  4 Nd 3.18, 4 Sm 3.18

Please write out number 1 again, unchanged.
Computed, not measured: an optimized crystal structure of Dy3MgIr at the PBE level of DFT.

Calculated values
DOS(E_F)   4.89 states/eV/cell
Calculated total energy   -25.64 eV per formula unit
ΔE_f   -0.275 eV per atom

a b c (Å): 5.3982 5.3982 5.3982
angles (deg): 90.00 90.00 90.00
Closest atoms and distances in Å follow each position.
Fractional positions:
Mg 0.5000 0.5000 0.5000  12 Dy 3.82
Ir 0.0000 0.0000 0.0000  6 Dy 2.70
Dy 0.0000 0.5000 0.0000  2 Ir 2.70
Dy 0.0000 0.0000 0.5000  2 Ir 2.70
Dy 0.5000 0.0000 0.0000  2 Ir 2.70

> Which value of DOS(E_F) does entry 1 give?

4.89 states/eV/cell